Record 1
# PBE Pr3Y8Th2, relaxed
# Energy relative to the lowest polymorph listed for this composition (kJ/mol of formula units): 0
# Energy of formation from the pure elements (meV/atom): 77
data_Pr3Y8Th2
_chemical_formula_sum 'Pr6 Y16 Th4'
_space_group_name_H-M_alt 'P -1'
_space_group_IT_number 2
_cell_length_a 6.860
_cell_length_b 8.746
_cell_length_c 15.029
_cell_angle_alpha 87.24
_cell_angle_beta 84.79
_cell_angle_gamma 76.82
loop_
_space_group_symop_operation_xyz
'x,y,z'
'-x,-y,-z'
loop_
_atom_site_label
_atom_site_type_symbol
_atom_site_fract_x
_atom_site_fract_y
_atom_site_fract_z
Pr1 Pr 0.000 0.000 0.000
Pr2 Pr 0.095 0.553 0.356
Pr3 Pr 0.404 0.955 0.143
Pr4 Pr 0.500 0.500 0.500
Y1 Y 0.091 0.782 0.609
Y2 Y 0.116 0.076 0.772
Y3 Y 0.219 0.366 0.952
Y4 Y 0.250 0.629 0.117
Y5 Y 0.251 0.875 0.387
Y6 Y 0.377 0.418 0.727
Y7 Y 0.407 0.714 0.891
Y8 Y 0.447 0.197 0.328
Th1 Th 0.058 0.307 0.176
Th2 Th 0.285 0.134 0.552

=====

Record 2
# PBE K3Re2AgO8, relaxed
# Raw formation energy (eV/atom): -1.485
data_K3Re2AgO8
_chemical_formula_sum 'K3 Re2 Ag1 O8'
_space_group_name_H-M_alt 'P -3 m 1'
_space_group_IT_number 164
_space_group_name_Hall '-P 3 2"'
_cell_length_a 6.1099
_cell_length_b 6.1099
_cell_length_c 7.9540
_cell_angle_alpha 90.00
_cell_angle_beta 90.00
_cell_angle_gamma 120.00
loop_
_atom_site_label
_atom_site_type_symbol
_atom_site_fract_x
_atom_site_fract_y
_atom_site_fract_z
K1 K 0.0000 0.0000 0.0000
K2 K 0.3333 0.6667 0.6535
Re1 Re 0.3333 0.6667 0.2024
Ag1 Ag 0.0000 0.0000 0.5000
O1 O 0.1748 0.3496 0.2890
O2 O 0.3333 0.6667 0.9782

=====

Final energy (computed, eV/atom): -6.15, -6.54